No. 1
An optimized crystal structure of Cu4NiAu, computed with PBE.

Computed properties:
DOS(E_F)	2.827	states/eV/f.u.
E above lowest polymorph	0.0	meV per atom
magnetic moment	0.00	μB per formula unit
energy	-4.235	eV per atom
formation energy from the elements	0.0052	eV/atom

a = 8.3003 Å, b = 3.7147 Å, c = 5.2733 Å
α = 90.00°, β = 108.91°, γ = 90.00°
Last column: nearest neighbours and their distance in Å.
Space group C2/m (No. 12)
Unique sites:
Cu1 0.1631 0.0000 0.3180 [4 per cell]  7 Cu 2.52-2.76, 2 Ni 2.57, 3 Au 2.65
Cu2 0.1725 0.0000 0.8454 [4 per cell]  7 Cu 2.52-2.76, 3 Ni 2.57-2.63, 2 Au 2.67
Ni1 0.0000 0.5000 0.0000 [2 per cell]  10 Cu 2.57-2.63, 2 Au 2.64
Au1 0.0000 0.5000 0.5000 [2 per cell]  2 Ni 2.64, 10 Cu 2.65-2.67

No. 2
An optimized crystal structure of CrFe2Mo, computed with PBE.

Computed properties:
DOS(E_F)	3.549	states/eV/f.u.
E above lowest polymorph	63.8	meV per atom
magnetic moment	1.27	μB per formula unit
energy	-9.185	eV per atom
formation energy from the elements	0.1596	eV/atom

a = 2.6052 Å, b = 3.6083 Å, c = 5.1888 Å
α = 90.00°, β = 90.00°, γ = 90.00°
Last column: nearest neighbours and their distance in Å.
Space group Pmmm (No. 47)
Unique sites:
Cr1 0.0000 0.0000 0.0000 [1 per cell]  8 Fe 2.53, 2 Mo 2.59, 2 Cr 2.61
Fe1 0.5000 0.5000 0.2331 [2 per cell]  3 Fe 2.42-2.61, 4 Cr 2.53, 4 Mo 2.62
Mo1 0.0000 0.0000 0.5000 [1 per cell]  2 Cr 2.59, 2 Mo 2.61, 8 Fe 2.62

No. 3
An optimized crystal structure of TiVW, computed with PBE.

Computed properties:
DOS(E_F)	4.443	states/eV/f.u.
E above lowest polymorph	24.1	meV per atom
magnetic moment	0.00	μB per formula unit
energy	-9.984	eV per atom
formation energy from the elements	0.0048	eV/atom

a = 4.5154 Å, b = 3.1168 Å, c = 13.2214 Å
α = 90.00°, β = 90.10°, γ = 90.00°
Last column: nearest neighbours and their distance in Å.
Space group C2/m (No. 12)
Unique sites:
Ti1 0.2478 0.0000 0.0944 [4 per cell]  2 W 2.74, 6 Ti 2.74-2.94
V1 0.2497 0.0000 0.4250 [4 per cell]  6 V 2.52-2.74, 2 W 2.63
W1 0.2489 0.5000 0.2648 [4 per cell]  2 V 2.63, 2 Ti 2.74, 4 W 2.74

No. 4
An optimized crystal structure of U2RePt, computed with PBE.

Computed properties:
DOS(E_F)	8.445	states/eV/f.u.
E above lowest polymorph	201.9	meV per atom
magnetic moment	0.00	μB per formula unit
energy	-10.205	eV per atom
formation energy from the elements	0.0610	eV/atom

a = 2.8623 Å, b = 2.8623 Å, c = 30.8667 Å
α = 90.00°, β = 90.00°, γ = 120.00°
Last column: nearest neighbours and their distance in Å.
Space group R-3m (No. 166, hexagonal axes)
Unique sites:
U1 0.0000 0.0000 0.2492 [6 per cell]  6 U 2.86, 3 Re 3.04, 3 Pt 3.08
Re1 0.0000 0.0000 0.5000 [3 per cell]  6 Re 2.86, 6 U 3.04
Pt1 0.0000 0.0000 0.0000 [3 per cell]  6 Pt 2.86, 6 U 3.08

No. 5
An optimized crystal structure of CrSnCl2, computed with PBE.

Computed properties:
DOS(E_F)	1.824	states/eV/f.u.
E above lowest polymorph	0.0	meV per atom
magnetic moment	5.06	μB per formula unit
energy	-4.318	eV per atom
formation energy from raw total energies	12	meV per atom

a = 7.1399 Å, b = 7.1399 Å, c = 7.1399 Å
α = 90.00°, β = 90.00°, γ = 90.00°
Last column: nearest neighbours and their distance in Å.
Space group Fm-3m (No. 225)
Unique sites:
Cr1 0.0000 0.0000 0.0000 [4 per cell]  8 Cl 3.09
Sn1 0.0000 0.0000 0.5000 [4 per cell]  8 Cl 3.09
Cl1 0.2500 0.2500 0.2500 [8 per cell]  4 Cr 3.09, 4 Sn 3.09

No. 6
An optimized crystal structure of Nd5Sm4Ho2, computed with PBE.

Computed properties:
DOS(E_F)	17.389	states/eV/f.u.
E above lowest polymorph	0.0	meV per atom
magnetic moment	0.00	μB per formula unit
energy	-4.576	eV per atom
formation energy from the elements	0.1398	eV/atom

a = 24.2837 Å, b = 3.5092 Å, c = 8.9057 Å
α = 90.00°, β = 97.06°, γ = 90.00°
Last column: nearest neighbours and their distance in Å.
Space group C2/m (No. 12)
Unique sites:
Nd1 0.0000 0.0000 0.0000 [2 per cell]  6 Nd 3.51-3.85, 4 Sm 3.71, 4 Ho 3.87
Nd2 0.1399 0.5000 0.1156 [4 per cell]  3 Sm 3.37-3.63, 1 Ho 3.47, 5 Nd 3.51-3.62
Nd3 0.2304 0.5000 0.8211 [4 per cell]  1 Ho 3.38, 7 Nd 3.51-3.66, 3 Sm 3.66-3.68
Sm1 0.0451 0.5000 0.3618 [4 per cell]  2 Ho 3.31-3.35, 1 Nd 3.37, 5 Sm 3.49-3.66
Sm2 0.1761 0.0000 0.4713 [4 per cell]  4 Sm 3.51-3.66, 5 Nd 3.63-3.68, 2 Ho 3.73
Ho1 0.0912 0.5000 0.7326 [4 per cell]  2 Sm 3.31-3.35, 2 Nd 3.38-3.47, 2 Ho 3.51